Material: Ge3IrN
Method: DFT, PBEsol
State: optimized geometry

Output
Total DFT energy (no corrections), eV per atom: -5.504
Crystal system: cubic
Magnetization, μB/cell: 0.0

a = 4.649 Å, b = 4.649 Å, c = 4.649 Å
α = 90.00°, β = 90.00°, γ = 90.00°
Space group Pm-3m (No. 221)
Symmetry-distinct sites (fractional):
Ge 0.000 0.000 0.500 x3
Ir 0.000 0.000 0.000 x1
N 0.500 0.500 0.500 x1

***

Material: CaTlRu2
Method: DFT, PBEsol
State: optimized geometry

Output
Calculated formation energy, eV per atom: 0.191
Crystal system: tetragonal
Magnetization, μB/cell: 0.0
Energy relative to the lowest polymorph listed for this composition, meV per atom: 0

a = 2.958 Å, b = 2.958 Å, c = 8.404 Å
α = 90.00°, β = 90.00°, γ = 90.00°
Space group P4mm (No. 99)
Symmetry-distinct sites (fractional):
Ca 0.000 0.000 0.000 x1
Tl 0.500 0.500 0.312 x1
Ru 0.000 0.000 0.565 x1
Ru 0.500 0.500 0.738 x1

***

Copy entry 1 word for word.
Material: Ge3IrN
Method: DFT, PBEsol
State: optimized geometry

Output
Total DFT energy (no corrections), eV per atom: -5.504
Crystal system: cubic
Magnetization, μB/cell: 0.0

a = 4.649 Å, b = 4.649 Å, c = 4.649 Å
α = 90.00°, β = 90.00°, γ = 90.00°
Space group Pm-3m (No. 221)
Symmetry-distinct sites (fractional):
Ge 0.000 0.000 0.500 x3
Ir 0.000 0.000 0.000 x1
N 0.500 0.500 0.500 x1

***

Which value of magnetization does entry 2 give?
0.0 μB/cell